# Ac2Ce3YSb6 (PBE, relaxed)
data_Ac2Ce3YSb6
_symmetry_space_group_name_H-M 'C 1 2/m 1'
_symmetry_Int_Tables_number 12
_cell_length_a 7.950
_cell_length_b 13.770
_cell_length_c 7.954
_cell_angle_alpha 90.00
_cell_angle_beta 109.55
_cell_angle_gamma 90.00
loop_
_symmetry_equiv_pos_as_xyz
'x,y,z'
'-x,-y,-z'
'-x,y,-z'
'x,-y,z'
'x+1/2,y+1/2,z'
'-x+1/2,-y+1/2,-z'
'-x+1/2,y+1/2,-z'
'x+1/2,-y+1/2,z'
loop_
_atom_site_label
_atom_site_fract_x
_atom_site_fract_y
_atom_site_fract_z
Ac1 0.000 0.165 0.000
Ce1 0.000 0.000 0.500
Ce2 0.000 0.329 0.500
Y1 0.000 0.500 0.000
Sb1 0.232 0.500 0.737
Sb2 0.246 0.340 0.258
# ΔE_f (raw) = -1099 meV per atom
# total magnetization = 4.9 μB/cell